Entry 1:
Entry from Alexandria: a relaxed structure of PaCo6Ge4 (PBE).

Summary:
For the density, the calculation gives 9.8 Mg/m³. The density of states at the Fermi level is 0.665 states/eV per atom. The calculation puts the formation enthalpy at 0 K at -0.3581 eV per atom. For the uncorrected energy, the calculation gives -6.7764 eV per atom.

a = 3.7102 Å, b = 6.7838 Å, c = 6.7838 Å
α = 120.00°, β = 90.00°, γ = 90.00°
Last column: nearest neighbours and their distance in Å.
Element x y z (fractional)
Co  0.5000  0.2015  0.7985  4 Ge 2.35-2.42
Co  0.5000  0.2015  0.4031  4 Ge 2.35-2.42
Co  0.5000  0.5969  0.7985  4 Ge 2.35-2.42
Co  0.0000  0.9316  0.4658  5 Ge 2.36-2.43
Ge  0.5000  0.8021  0.6043  6 Co 2.35-2.43
Ge  0.5000  0.8021  0.1979  6 Co 2.35-2.43
Co  0.0000  0.5342  0.4658  5 Ge 2.36-2.43
Ge  0.5000  0.3957  0.1979  6 Co 2.35-2.43
Ge  0.0000  0.3333  0.6667  9 Co 2.36-2.42
Pa  0.0000  0.0000  0.0000  6 Ge 2.97, 6 Co 3.01
Co  0.0000  0.5342  0.0684  5 Ge 2.36-2.43

Entry 2:
Entry from Alexandria: a relaxed structure of Ho7Zn2Te2 (PBE).

Summary:
For the density, the calculation gives 8.5 Mg/m³. The value obtained for the energy relative to the lowest polymorph listed for this composition is 0.000 eV/atom. The density of states at the Fermi level is 0.902 states/eV per atom. The formation energy without anion corrections is -0.596 eV/atom. For the uncorrected energy, the calculation gives -4.3122 eV per atom.

a = 4.1164 Å, b = 9.2535 Å, c = 9.2535 Å
α = 62.30°, β = 77.15°, γ = 77.15°
Last column: nearest neighbours and their distance in Å.
Element x y z (fractional)
Zn  0.7340  0.8628  0.6691  7 Ho 2.90-3.15
Ho  0.6289  0.4777  0.2645  2 Zn 2.94, 3 Te 3.10-3.17
Ho  0.3711  0.7355  0.5223  2 Zn 2.94, 3 Te 3.10-3.17
Ho  0.8153  0.0834  0.2860  3 Zn 2.90-3.15, 1 Te 3.15
Zn  0.2660  0.3309  0.1372  7 Ho 2.90-3.15
Ho  0.5000  0.0147  0.9853  3 Te 3.25-3.28
Te  0.5000  0.3572  0.6428  7 Ho 3.10-3.28
Ho  0.1847  0.7140  0.9166  3 Zn 2.90-3.15, 1 Te 3.15
Ho  0.1405  0.1220  0.5970  2 Zn 2.97, 2 Te 3.11
Te  0.0000  0.7525  0.2475  8 Ho 3.15-3.25
Ho  0.8595  0.4030  0.8780  2 Zn 2.97, 2 Te 3.11

Entry 3:
Entry from Alexandria: a relaxed structure of MnAl2Au2 (PBE).

Summary:
For the density, the calculation gives 9.9 Mg/m³. The value obtained for the energy relative to the lowest polymorph listed for this composition is 0.000 eV/atom. The density of states at the Fermi level is 0.483 states/eV per atom. The calculation puts the formation enthalpy at 0 K at -0.1311 eV per atom. For the uncorrected energy, the calculation gives -4.7730 eV per atom.

a = 7.3286 Å, b = 7.3286 Å, c = 3.1344 Å
α = 90.00°, β = 90.00°, γ = 90.00°
Last column: nearest neighbours and their distance in Å.
Element x y z (fractional)
Al  0.1633  0.6633  0.5000  6 Au 2.58-2.72
Au  0.8605  0.6395  0.0000  6 Al 2.58-2.72, 2 Mn 2.83
Au  0.1395  0.3605  0.0000  6 Al 2.58-2.72, 2 Mn 2.83
Al  0.3367  0.1633  0.5000  6 Au 2.58-2.72
Mn  0.0000  0.0000  0.0000  4 Au 2.83, 2 Mn 3.13, 8 Al 3.16
Mn  0.5000  0.5000  0.0000  4 Au 2.83, 2 Mn 3.13, 8 Al 3.16
Al  0.6633  0.8367  0.5000  6 Au 2.58-2.72
Au  0.3605  0.8605  0.0000  6 Al 2.58-2.72, 2 Mn 2.83
Al  0.8367  0.3367  0.5000  6 Au 2.58-2.72
Au  0.6395  0.1395  0.0000  6 Al 2.58-2.72, 2 Mn 2.83

Entry 4:
Entry from Alexandria: a relaxed structure of Er5GaCu4 (PBE).

Summary:
For the density, the calculation gives 9.3 Mg/m³. The density of states at the Fermi level is 0.701 states/eV per atom. The calculation puts the formation enthalpy at 0 K at -0.3359 eV per atom. For the uncorrected energy, the calculation gives -4.5585 eV per atom.

a = 3.4365 Å, b = 3.4365 Å, c = 17.4997 Å
α = 90.00°, β = 90.00°, γ = 90.00°
Last column: nearest neighbours and their distance in Å.
Element x y z (fractional)
Cu  0.0000  0.0000  0.7962  8 Er 2.98
Er  0.5000  0.5000  0.8944  4 Cu 2.98, 4 Ga 3.05
Cu  0.0000  0.0000  0.5976  8 Er 2.97-2.99
Er  0.5000  0.5000  0.6973  8 Cu 2.98-2.99
Cu  0.0000  0.0000  0.4024  8 Er 2.97-2.99
Cu  0.0000  0.0000  0.2038  8 Er 2.98
Er  0.5000  0.5000  0.5000  8 Cu 2.97
Er  0.5000  0.5000  0.3027  8 Cu 2.98-2.99
Ga  0.0000  0.0000  0.0000  8 Er 3.05
Er  0.5000  0.5000  0.1056  4 Cu 2.98, 4 Ga 3.05

Entry 5:
Entry from Alexandria: a relaxed structure of AlFe2Sb (PBE).

Summary:
For the density, the calculation gives 8.1 Mg/m³. The value obtained for the energy relative to the lowest polymorph listed for this composition is 0.000 eV/atom. The density of states at the Fermi level is 0.324 states/eV per atom. The formation energy without anion corrections is -0.011 eV/atom. For the uncorrected energy, the calculation gives -6.2083 eV per atom.

a = 4.2202 Å, b = 4.2202 Å, c = 4.2202 Å
α = 60.00°, β = 60.00°, γ = 60.00°
Last column: nearest neighbours and their distance in Å.
Element x y z (fractional)
Fe  0.7500  0.7500  0.7500  4 Sb 2.58, 4 Al 2.58
Al  0.0000  0.0000  0.0000  8 Fe 2.58
Fe  0.2500  0.2500  0.2500  4 Sb 2.58, 4 Al 2.58
Sb  0.5000  0.5000  0.5000  8 Fe 2.58

Entry 6:
Entry from Alexandria: a relaxed structure of Ho2NbNi (PBE).

Summary:
For the density, the calculation gives 8.8 Mg/m³. The density of states at the Fermi level is 0.767 states/eV per atom. The calculation puts the formation enthalpy at 0 K at 0.4583 eV per atom. For the uncorrected energy, the calculation gives -5.7933 eV per atom.

a = 3.2560 Å, b = 3.2560 Å, c = 10.0289 Å
α = 80.66°, β = 80.66°, γ = 60.00°
Last column: nearest neighbours and their distance in Å.
Element x y z (fractional)
Ho  0.1004  0.1004  0.6988  3 Ni 2.71, 1 Nb 2.97
Ni  0.5000  0.5000  0.5000  6 Ho 2.71
Nb  0.0000  0.0000  0.0000  2 Ho 2.97, 6 Nb 3.26
Ho  0.8996  0.8996  0.3012  3 Ni 2.71, 1 Nb 2.97

Entry 7:
Entry from Alexandria: a relaxed structure of CoTcRu2 (PBE).

Summary:
For the density, the calculation gives 11.2 Mg/m³. The value obtained for the energy relative to the lowest polymorph listed for this composition is 0.043 eV/atom. The density of states at the Fermi level is 1.334 states/eV per atom. The calculation puts the formation enthalpy at 0 K at 0.1296 eV per atom. For the uncorrected energy, the calculation gives -8.8762 eV per atom.

a = 4.6006 Å, b = 4.6006 Å, c = 4.6023 Å
α = 80.65°, β = 80.65°, γ = 33.69°
Last column: nearest neighbours and their distance in Å.
Element x y z (fractional)
Co  0.2499  0.2499  0.2533  3 Tc 2.63-2.64, 7 Ru 2.65-2.66, 2 Co 2.67
Ru  0.9984  0.9984  0.0043  4 Tc 2.61-2.71, 5 Ru 2.65-2.67, 3 Co 2.65-2.66
Ru  0.7489  0.7489  0.7529  5 Ru 2.65-2.67, 4 Co 2.66, 3 Tc 2.66-2.71
Tc  0.5027  0.5027  0.4895  7 Ru 2.61-2.71, 3 Co 2.63-2.64, 2 Tc 2.67

Entry 8:
Entry from Alexandria: a relaxed structure of LiCrBr (PBE).

Summary:
For the density, the calculation gives 3.5 Mg/m³. The value obtained for the energy relative to the lowest polymorph listed for this composition is 0.000 eV/atom. The density of states at the Fermi level is 0.331 states/eV per atom. The formation energy without anion corrections is 0.010 eV/atom. For the uncorrected energy, the calculation gives -4.3930 eV per atom.

a = 3.5292 Å, b = 3.5292 Å, c = 6.0731 Å
α = 90.00°, β = 90.00°, γ = 120.00°
Last column: nearest neighbours and their distance in Å.
Element x y z (fractional)
Li  0.6667  0.3333  0.7064  3 Br 2.63
Br  0.0000  0.0000  0.9799  3 Li 2.63, 3 Cr 2.87
Cr  0.3333  0.6667  0.3138  3 Br 2.87, 3 Li 3.14